(1)
VASP calculation (PBE+U) on a relaxed structure of CrNiCO2.

a = 3.8280 Å, b = 3.8280 Å, c = 3.4906 Å
α = 90.00°, β = 90.00°, γ = 90.00°
Closest atoms and distances in Å follow each position.
Sites, in units of the cell vectors:
Cr (0.0000, 0.0000, 0.0000)  8 O 2.59, 4 Ni 2.71
Ni (0.5000, 0.5000, 0.0000)  2 C 1.75
C (0.5000, 0.5000, 0.5000)  2 Ni 1.75, 4 O 1.91
O (0.0000, 0.5000, 0.5000)  2 C 1.91
O (0.5000, 0.0000, 0.5000)  2 C 1.91

Values from the calculation:
Total energy = -22.92 eV/f.u.
M_tot = 2.0 μB per formula unit


(2)
VASP calculation (PBE+U) on a relaxed structure of CrNiCO4.

a = 5.6558 Å, b = 5.6558 Å, c = 5.6558 Å
α = 122.81°, β = 121.82°, γ = 86.04°
Closest atoms and distances in Å follow each position.
Sites, in units of the cell vectors:
Cr (0.0000, 0.0000, 0.0000)  4 O 2.06
Cr (0.5000, 0.0000, 0.5000)  4 O 2.06
Ni (0.5000, 0.0000, 0.0000)  6 O 2.11-2.21
Ni (0.5000, 0.5000, 0.5000)  6 O 2.11-2.21
C (0.1297, 0.3797, 0.7500)  4 O 1.41-1.46
C (0.8703, 0.6203, 0.2500)  4 O 1.41-1.46
O (0.1774, 0.7163, 0.4610)  1 C 1.41
O (0.2331, 0.2642, 0.5311)  1 C 1.46
O (0.2331, 0.7020, 0.9689)  1 C 1.46
O (0.2447, 0.2837, 0.9610)  1 C 1.41
O (0.7553, 0.7163, 0.0390)  1 C 1.41
O (0.7669, 0.2980, 0.0311)  1 C 1.46
O (0.7669, 0.7358, 0.4689)  1 C 1.46
O (0.8226, 0.2837, 0.5390)  1 C 1.41

Values from the calculation:
Total energy = -45.85 eV/f.u.
M_tot = 6.0 μB per formula unit